Entry 1:
Material: Y2CdHg
Method: DFT, GGA-PBE
State: optimized geometry

a = 3.506 Å, b = 5.521 Å, c = 12.898 Å
α = 90.00°, β = 90.00°, γ = 90.00°
Element x y z (fractional)
Y 0.000 0.000 0.232
Y 0.000 0.000 0.768
Y 0.500 0.500 0.268
Y 0.500 0.500 0.732
Cd 0.000 0.000 0.500
Cd 0.500 0.500 0.000
Hg 0.000 0.000 0.000
Hg 0.500 0.500 0.500

Output
Total DFT energy (no corrections) (eV per atom): -3.24
Fermi-level density of states (states/eV/atom): 0.9661
Crystal system: orthorhombic
Formation energy (eV/atom): 0.3000
M_tot (μB per formula unit): 0.0
ΔE to the lowest computed polymorph (kJ/mol of formula units): 282

---

Entry 2:
Material: PmSmN2
Method: DFT, GGA-PBE
State: optimized geometry

a = 3.797 Å, b = 3.797 Å, c = 20.191 Å
α = 90.00°, β = 90.00°, γ = 120.00°
Element x y z (fractional)
Pm 0.000 0.000 0.000
Pm 0.333 0.667 0.667
Pm 0.667 0.333 0.333
Sm 0.000 0.000 0.500
Sm 0.333 0.667 0.167
Sm 0.667 0.333 0.833
N 0.000 0.000 0.109
N 0.000 0.000 0.891
N 0.333 0.667 0.558
N 0.333 0.667 0.775
N 0.667 0.333 0.225
N 0.667 0.333 0.442

Output
Total DFT energy (no corrections) (eV per atom): -7.05
Fermi-level density of states (states/eV/atom): 0.7635
Crystal system: trigonal
M_tot (μB per formula unit): 0.6
ΔE to the lowest computed polymorph (kJ/mol of formula units): 360
Formation energy from raw total energies (eV/f.u.): -2.099

---

Entry 3:
Material: Sr3MgSn3
Method: DFT, GGA-PBE
State: optimized geometry

a = 8.161 Å, b = 8.161 Å, c = 7.662 Å
α = 90.53°, β = 90.53°, γ = 94.04°
Element x y z (fractional)
Sr 0.166 0.834 0.000
Sr 0.273 0.727 0.500
Sr 0.327 0.327 0.889
Sr 0.673 0.673 0.111
Sr 0.727 0.273 0.500
Sr 0.834 0.166 0.000
Mg 0.198 0.198 0.321
Mg 0.802 0.802 0.679
Sn 0.039 0.487 0.198
Sn 0.081 0.081 0.650
Sn 0.487 0.039 0.198
Sn 0.513 0.961 0.802
Sn 0.919 0.919 0.350
Sn 0.961 0.513 0.802

Output
Total DFT energy (no corrections) (eV per atom): -3.07
Fermi-level density of states (states/eV/atom): 0.3803
Crystal system: monoclinic
Formation energy (eV/atom): -0.4045
M_tot (μB per formula unit): 0.0
ΔE to the lowest computed polymorph (kJ/mol of formula units): 142

---

Entry 4:
Material: CeTh2Sc3As6
Method: DFT, GGA-PBE
State: optimized geometry

a = 9.076 Å, b = 9.076 Å, c = 8.090 Å
α = 101.98°, β = 101.98°, γ = 26.08°
Element x y z (fractional)
Ce 0.000 0.000 0.000
Th 0.334 0.334 0.667
Th 0.666 0.666 0.333
Sc 0.000 0.000 0.500
Sc 0.333 0.333 0.166
Sc 0.667 0.667 0.834
As 0.161 0.161 0.597
As 0.171 0.171 0.070
As 0.495 0.495 0.261
As 0.505 0.505 0.739
As 0.829 0.829 0.930
As 0.839 0.839 0.403

Output
Total DFT energy (no corrections) (eV per atom): -7.02
Fermi-level density of states (states/eV/atom): 0.7704
Crystal system: monoclinic
Formation energy (eV/atom): -1.3802
M_tot (μB per formula unit): 0.7

---

Entry 5:
Material: Tl2InH
Method: DFT, GGA-PBE
State: optimized geometry

a = 10.901 Å, b = 3.297 Å, c = 10.995 Å
α = 90.00°, β = 92.87°, γ = 90.00°
Element x y z (fractional)
Tl 0.122 0.000 0.097
Tl 0.129 0.000 0.406
Tl 0.371 0.500 0.594
Tl 0.378 0.500 0.903
Tl 0.622 0.500 0.097
Tl 0.629 0.500 0.406
Tl 0.871 0.000 0.594
Tl 0.878 0.000 0.903
In 0.143 0.000 0.720
In 0.357 0.500 0.280
In 0.643 0.500 0.720
In 0.857 0.000 0.280
H 0.184 0.000 0.898
H 0.316 0.500 0.102
H 0.684 0.500 0.898
H 0.816 0.000 0.102

Output
Total DFT energy (no corrections) (eV per atom): -2.53
Fermi-level density of states (states/eV/atom): 0.2384
Crystal system: monoclinic
M_tot (μB per formula unit): 0.0
ΔE to the lowest computed polymorph (kJ/mol of formula units): 0

---

Entry 6:
Material: DyThZnGe
Method: DFT, GGA-PBE
State: optimized geometry

a = 7.244 Å, b = 7.244 Å, c = 7.244 Å
α = 90.00°, β = 90.00°, γ = 90.00°
Element x y z (fractional)
Dy 0.000 0.000 0.000
Dy 0.000 0.500 0.500
Dy 0.500 0.000 0.500
Dy 0.500 0.500 0.000
Th 0.000 0.000 0.500
Th 0.000 0.500 0.000
Th 0.500 0.000 0.000
Th 0.500 0.500 0.500
Zn 0.250 0.250 0.250
Zn 0.250 0.750 0.750
Zn 0.750 0.250 0.750
Zn 0.750 0.750 0.250
Ge 0.250 0.250 0.750
Ge 0.250 0.750 0.250
Ge 0.750 0.250 0.250
Ge 0.750 0.750 0.750

Output
Total DFT energy (no corrections) (eV per atom): -4.90
Fermi-level density of states (states/eV/atom): 0.8165
Crystal system: cubic
Formation energy (eV/atom): -0.4246
M_tot (μB per formula unit): 0.0

---

Entry 7:
Material: Ba2Hg2Au
Method: DFT, GGA-PBE
State: optimized geometry

a = 8.676 Å, b = 8.676 Å, c = 4.622 Å
α = 90.00°, β = 90.00°, γ = 90.00°
Element x y z (fractional)
Ba 0.179 0.321 0.000
Ba 0.321 0.821 0.000
Ba 0.679 0.179 0.000
Ba 0.821 0.679 0.000
Hg 0.124 0.624 0.500
Hg 0.376 0.124 0.500
Hg 0.624 0.876 0.500
Hg 0.876 0.376 0.500
Au 0.000 0.000 0.500
Au 0.500 0.500 0.500

Output
Total DFT energy (no corrections) (eV per atom): -1.97
Fermi-level density of states (states/eV/atom): 0.7392
Crystal system: tetragonal
Formation energy (eV/atom): -0.4287
M_tot (μB per formula unit): 0.0
ΔE to the lowest computed polymorph (kJ/mol of formula units): 67

---

Entry 8:
Material: KNiAs2
Method: DFT, GGA-PBE
State: optimized geometry

a = 5.392 Å, b = 2.880 Å, c = 5.570 Å
α = 90.00°, β = 114.07°, γ = 90.00°
Element x y z (fractional)
K 0.000 0.000 0.000
Ni 0.000 0.500 0.500
As 0.500 0.000 0.500
As 0.500 0.500 0.000

Output
Total DFT energy (no corrections) (eV per atom): -3.53
Fermi-level density of states (states/eV/atom): 0.6758
Crystal system: monoclinic
Formation energy (eV/atom): 0.5146
M_tot (μB per formula unit): 0.0
ΔE to the lowest computed polymorph (kJ/mol of formula units): 320

---

Entry 9:
Material: Li5Mg2InAg2
Method: DFT, GGA-PBE
State: optimized geometry

a = 9.339 Å, b = 9.339 Å, c = 4.390 Å
α = 90.00°, β = 90.00°, γ = 90.00°
Element x y z (fractional)
Li 0.000 0.500 0.000
Li 0.071 0.200 0.000
Li 0.200 0.929 0.000
Li 0.300 0.429 0.000
Li 0.429 0.700 0.000
Li 0.500 0.000 0.000
Li 0.571 0.300 0.000
Li 0.700 0.571 0.000
Li 0.800 0.071 0.000
Li 0.929 0.800 0.000
Mg 0.177 0.677 0.500
Mg 0.323 0.177 0.500
Mg 0.677 0.823 0.500
Mg 0.823 0.323 0.500
In 0.000 0.000 0.500
In 0.500 0.500 0.500
Ag 0.117 0.383 0.500
Ag 0.383 0.883 0.500
Ag 0.617 0.117 0.500
Ag 0.883 0.617 0.500

Output
Total DFT energy (no corrections) (eV per atom): -2.28
Fermi-level density of states (states/eV/atom): 0.3643
Crystal system: tetragonal
Formation energy (eV/atom): -0.1593
M_tot (μB per formula unit): 0.0

---

Entry 10:
Material: UAlFe
Method: DFT, GGA-PBE
State: optimized geometry

a = 2.940 Å, b = 2.940 Å, c = 11.115 Å
α = 90.00°, β = 90.00°, γ = 90.00°
Element x y z (fractional)
U 0.000 0.000 0.000
U 0.500 0.500 0.500
Al 0.000 0.000 0.716
Al 0.500 0.500 0.216
Fe 0.000 0.000 0.348
Fe 0.500 0.500 0.848

Output
Total DFT energy (no corrections) (eV per atom): -8.01
Fermi-level density of states (states/eV/atom): 1.4000
Crystal system: tetragonal
Formation energy (eV/atom): -0.1816
M_tot (μB per formula unit): 0.0

---

Entry 11:
Material: Rb2BeHgP
Method: DFT, GGA-PBE
State: optimized geometry

a = 6.719 Å, b = 6.719 Å, c = 3.895 Å
α = 90.00°, β = 90.00°, γ = 90.00°
Element x y z (fractional)
Rb 0.000 0.500 0.000
Rb 0.500 0.000 0.000
Be 0.000 0.000 0.000
Hg 0.500 0.500 0.500
P 0.000 0.000 0.500

Output
Total DFT energy (no corrections) (eV per atom): -2.38
Fermi-level density of states (states/eV/atom): 0.5231
Crystal system: tetragonal
Formation energy (eV/atom): -0.1044
M_tot (μB per formula unit): 0.0

---

Entry 12:
Material: Ac4NdSm3
Method: DFT, GGA-PBE
State: optimized geometry

a = 10.933 Å, b = 7.580 Å, c = 7.578 Å
α = 90.00°, β = 90.00°, γ = 90.00°
Element x y z (fractional)
Ac 0.000 0.001 0.000
Ac 0.000 0.499 0.498
Ac 0.249 0.750 0.749
Ac 0.251 0.250 0.249
Ac 0.500 0.501 0.998
Ac 0.500 0.999 0.500
Ac 0.749 0.250 0.249
Ac 0.751 0.750 0.749
Nd 0.000 0.001 0.498
Nd 0.500 0.999 0.998
Sm 0.000 0.500 0.000
Sm 0.250 0.251 0.749
Sm 0.250 0.749 0.249
Sm 0.500 0.500 0.500
Sm 0.750 0.251 0.749
Sm 0.750 0.749 0.249

Output
Total DFT energy (no corrections) (eV per atom): -4.38
Fermi-level density of states (states/eV/atom): 1.7254
Crystal system: orthorhombic
Formation energy (eV/atom): 0.0402
M_tot (μB per formula unit): 0.0

---

Please write out number 11 again, unchanged.
Material: Rb2BeHgP
Method: DFT, GGA-PBE
State: optimized geometry

a = 6.719 Å, b = 6.719 Å, c = 3.895 Å
α = 90.00°, β = 90.00°, γ = 90.00°
Element x y z (fractional)
Rb 0.000 0.500 0.000
Rb 0.500 0.000 0.000
Be 0.000 0.000 0.000
Hg 0.500 0.500 0.500
P 0.000 0.000 0.500

Output
Total DFT energy (no corrections) (eV per atom): -2.38
Fermi-level density of states (states/eV/atom): 0.5231
Crystal system: tetragonal
Formation energy (eV/atom): -0.1044
M_tot (μB per formula unit): 0.0

---

Which of these has the lowest total DFT energy (no corrections)?
UAlFe

---

Which formula does entry 7 have?
Ba2Hg2Au